(1)
VASP calculation (GGA-PBE) on an optimized crystal structure of CaTb6Ho.

Computed properties:
As for the space-group type: No. 2. The crystal system is triclinic. The calculation puts the formation energy at 0.22 eV/atom.

Cell lengths 6.6207, 6.7740, 6.9878 Å; angles 117.36, 104.42, 92.15 degrees
With the nearest neighbours (Å) after each atom.
Atoms (fractional coordinates):
Ca  0.0000  0.0000  0.0000  2 Ho 3.31, 4 Tb 3.44-3.57
Tb  0.2402  0.5755  0.4810  6 Tb 3.32-3.68, 1 Ho 3.36
Tb  0.2539  0.5425  0.9952  6 Tb 3.32-3.68, 1 Ho 3.43, 1 Ca 3.57
Tb  0.2806  0.0971  0.5297  5 Tb 3.28-3.66, 1 Ca 3.44, 1 Ho 3.61
Tb  0.7194  0.9029  0.4703  5 Tb 3.28-3.66, 1 Ca 3.44, 1 Ho 3.61
Tb  0.7461  0.4575  0.0048  6 Tb 3.32-3.68, 1 Ho 3.43, 1 Ca 3.57
Tb  0.7598  0.4245  0.5190  6 Tb 3.32-3.68, 1 Ho 3.36
Ho  0.5000  0.0000  0.0000  2 Ca 3.31, 6 Tb 3.36-3.61

(2)
VASP calculation (GGA-PBE) on an optimized crystal structure of CaFe2Ni.

Computed properties:
As for the space-group type: No. 122. The crystal system is tetragonal. The calculation puts the formation energy at 0.55 eV/atom.

Cell lengths 4.4846, 4.4846, 16.3171 Å; angles 90.00, 90.00, 90.00 degrees
With the nearest neighbours (Å) after each atom.
Atoms (fractional coordinates):
Ca  0.0000  0.0000  0.0000  4 Ni 3.17, 8 Fe 3.18-3.28
Ca  0.0000  0.5000  0.2500  4 Ni 3.17, 8 Fe 3.18-3.28
Ca  0.5000  0.0000  0.7500  4 Ni 3.17, 8 Fe 3.18-3.28
Ca  0.5000  0.5000  0.5000  4 Ni 3.17, 8 Fe 3.18-3.28
Fe  0.0153  0.7500  0.6250  2 Fe 2.25, 2 Ni 2.33
Fe  0.2500  0.0153  0.3750  2 Fe 2.25, 2 Ni 2.33
Fe  0.2500  0.4847  0.8750  2 Fe 2.25, 2 Ni 2.33
Fe  0.4847  0.7500  0.1250  2 Fe 2.25, 2 Ni 2.33
Fe  0.5153  0.2500  0.1250  2 Fe 2.25, 2 Ni 2.33
Fe  0.7500  0.5153  0.8750  2 Fe 2.25, 2 Ni 2.33
Fe  0.7500  0.9847  0.3750  2 Fe 2.25, 2 Ni 2.33
Fe  0.9847  0.2500  0.6250  2 Fe 2.25, 2 Ni 2.33
Ni  0.0000  0.0000  0.5000  4 Fe 2.33
Ni  0.0000  0.5000  0.7500  4 Fe 2.33
Ni  0.5000  0.0000  0.2500  4 Fe 2.33
Ni  0.5000  0.5000  0.0000  4 Fe 2.33

(3)
VASP calculation (GGA-PBE) on an optimized crystal structure of KMgAg2.

Computed properties:
As for the space-group type: No. 141. The crystal system is tetragonal. The calculation puts the formation energy at 0.15 eV/atom.

Cell lengths 5.4588, 5.4588, 18.9440 Å; angles 90.00, 90.00, 90.00 degrees
With the nearest neighbours (Å) after each atom.
Atoms (fractional coordinates):
K  0.0000  0.2500  0.3750  4 Mg 3.86, 8 Ag 3.86
K  0.0000  0.7500  0.6250  4 Mg 3.86, 8 Ag 3.86
K  0.5000  0.2500  0.1250  4 Mg 3.86, 8 Ag 3.86
K  0.5000  0.7500  0.8750  4 Mg 3.86, 8 Ag 3.86
Mg  0.0000  0.2500  0.8750  4 Ag 2.73
Mg  0.0000  0.7500  0.1250  4 Ag 2.73
Mg  0.5000  0.2500  0.6250  4 Ag 2.73
Mg  0.5000  0.7500  0.3750  4 Ag 2.73
Ag  0.0000  0.0000  0.0000  2 Ag 2.73, 2 Mg 2.73
Ag  0.0000  0.5000  0.0000  2 Ag 2.73, 2 Mg 2.73
Ag  0.2500  0.2500  0.7500  2 Ag 2.73, 2 Mg 2.73
Ag  0.2500  0.7500  0.2500  2 Ag 2.73, 2 Mg 2.73
Ag  0.5000  0.0000  0.5000  2 Ag 2.73, 2 Mg 2.73
Ag  0.5000  0.5000  0.5000  2 Ag 2.73, 2 Mg 2.73
Ag  0.7500  0.2500  0.7500  2 Ag 2.73, 2 Mg 2.73
Ag  0.7500  0.7500  0.2500  2 Ag 2.73, 2 Mg 2.73

(4)
VASP calculation (GGA-PBE) on an optimized crystal structure of Li5Cd8Rh.

Computed properties:
As for the space-group type: No. 82. The crystal system is tetragonal. The calculation puts the formation energy at -0.12 eV/atom.

Cell lengths 7.0818, 7.0818, 7.0818 Å; angles 109.12, 109.12, 110.18 degrees
With the nearest neighbours (Å) after each atom.
Atoms (fractional coordinates):
Li  0.0000  0.0000  0.0000  8 Cd 2.77-2.84
Li  0.1785  0.5094  0.9032  8 Cd 2.75-2.97
Li  0.4906  0.3938  0.6691  8 Cd 2.75-2.97
Li  0.6062  0.2753  0.0968  8 Cd 2.75-2.97
Li  0.7247  0.8215  0.3309  8 Cd 2.75-2.97
Cd  0.0043  0.2742  0.3997  5 Li 2.84-2.97, 1 Rh 2.91, 3 Cd 2.91-3.08
Cd  0.1701  0.0902  0.7202  5 Li 2.75-2.81, 1 Rh 2.76, 2 Cd 2.98-3.08
Cd  0.3700  0.4499  0.2798  5 Li 2.75-2.81, 1 Rh 2.76, 2 Cd 2.98-3.08
Cd  0.3955  0.9957  0.2700  5 Li 2.84-2.97, 1 Rh 2.91, 3 Cd 2.91-3.08
Cd  0.5501  0.8299  0.9201  5 Li 2.75-2.81, 1 Rh 2.76, 2 Cd 2.98-3.08
Cd  0.7258  0.1255  0.7300  5 Li 2.84-2.97, 1 Rh 2.91, 3 Cd 2.91-3.08
Cd  0.8745  0.6045  0.6003  5 Li 2.84-2.97, 1 Rh 2.91, 3 Cd 2.91-3.08
Cd  0.9098  0.6300  0.0799  5 Li 2.75-2.81, 1 Rh 2.76, 2 Cd 2.98-3.08
Rh  0.2500  0.7500  0.5000  8 Cd 2.76-2.91

(5)
VASP calculation (GGA-PBE) on an optimized crystal structure of LiDySi.

Computed properties:
As for the space-group type: No. 11. The crystal system is monoclinic. For the energy relative to the elements, uncorrected, the calculation gives -1.388 eV per formula unit.

Cell lengths 4.1959, 3.7600, 8.4591 Å; angles 90.00, 104.26, 90.00 degrees
With the nearest neighbours (Å) after each atom.
Atoms (fractional coordinates):
Li  0.2073  0.2500  0.4153  1 Si 2.65
Li  0.7927  0.7500  0.5847  1 Si 2.65
Dy  0.4081  0.2500  0.8135  6 Si 2.92-3.10, 1 Li 3.26
Dy  0.5919  0.7500  0.1865  6 Si 2.92-3.10, 1 Li 3.26
Si  0.0461  0.2500  0.0923  2 Si 2.41, 1 Li 2.65
Si  0.9539  0.7500  0.9077  2 Si 2.41, 1 Li 2.65

(6)
VASP calculation (GGA-PBE) on an optimized crystal structure of YPIrS2.

Computed properties:
As for the space-group type: No. 123. The polymorph energy (0 for the lowest one) comes out at 1.354 eV/atom. The crystal system is tetragonal. For the energy relative to the elements, uncorrected, the calculation gives 5.113 eV per formula unit.

Cell lengths 5.0795, 5.0795, 5.3250 Å; angles 90.00, 90.00, 90.00 degrees
With the nearest neighbours (Å) after each atom.
Atoms (fractional coordinates):
Y  0.0000  0.0000  0.0000  4 S 2.54, 2 P 2.66
P  0.0000  0.0000  0.5000  2 Y 2.66
Ir  0.5000  0.5000  0.5000  4 P 3.59, 8 S 3.68
S  0.0000  0.5000  0.0000  2 Y 2.54
S  0.5000  0.0000  0.0000  2 Y 2.54

(7)
VASP calculation (GGA-PBE) on an optimized crystal structure of CsRb2HgF5.

Computed properties:
As for the space-group type: No. 140. The crystal system is tetragonal. For the energy relative to the elements, uncorrected, the calculation gives -20.334 eV per formula unit.

Cell lengths 8.7816, 8.7816, 8.7816 Å; angles 127.50, 127.50, 77.44 degrees
With the nearest neighbours (Å) after each atom.
Atoms (fractional coordinates):
Cs  0.2500  0.2500  0.0000  10 F 3.32-3.43
Cs  0.7500  0.7500  0.0000  10 F 3.32-3.43
Rb  0.1750  0.6750  0.8499  4 F 2.75-2.87
Rb  0.3250  0.1750  0.5000  4 F 2.75-2.87
Rb  0.6750  0.8250  0.5000  4 F 2.75-2.87
Rb  0.8250  0.3250  0.1501  4 F 2.75-2.87
Hg  0.2500  0.7500  0.5000  4 F 2.20
Hg  0.7500  0.2500  0.5000  4 F 2.20
F  0.0000  0.0000  0.0000  4 Rb 2.87
F  0.0061  0.2109  0.5000  1 Hg 2.20
F  0.2109  0.7109  0.2047  1 Hg 2.20
F  0.2891  0.4939  0.5000  1 Hg 2.20
F  0.4939  0.9939  0.2047  1 Hg 2.20
F  0.5000  0.5000  0.0000  4 Rb 2.87
F  0.5061  0.0061  0.7953  1 Hg 2.20
F  0.7109  0.5061  0.5000  1 Hg 2.20
F  0.7891  0.2891  0.7953  1 Hg 2.20
F  0.9939  0.7891  0.5000  1 Hg 2.20

(8)
VASP calculation (GGA-PBE) on an optimized crystal structure of NpTaIr2.

Computed properties:
As for the space-group type: No. 123. The polymorph energy (0 for the lowest one) comes out at 0.000 eV/atom. The crystal system is tetragonal. The calculation puts the formation energy at -0.39 eV/atom.

Cell lengths 2.9763, 2.9763, 7.9377 Å; angles 90.00, 90.00, 90.00 degrees
With the nearest neighbours (Å) after each atom.
Atoms (fractional coordinates):
Np  0.0000  0.0000  0.0000  4 Np 2.98, 8 Ir 3.04
Ta  0.0000  0.0000  0.5000  8 Ir 2.75, 4 Ta 2.98
Ir  0.5000  0.5000  0.2761  4 Ta 2.75, 4 Ir 2.98, 4 Np 3.04
Ir  0.5000  0.5000  0.7239  4 Ta 2.75, 4 Ir 2.98, 4 Np 3.04

(9)
VASP calculation (GGA-PBE) on an optimized crystal structure of NdYBi.

Computed properties:
As for the space-group type: No. 107. The crystal system is tetragonal. The calculation puts the formation energy at -0.50 eV/atom.

Cell lengths 4.1244, 4.1244, 10.9486 Å; angles 90.00, 90.00, 90.00 degrees
With the nearest neighbours (Å) after each atom.
Atoms (fractional coordinates):
Nd  0.0000  0.0000  0.0000  5 Y 3.40-3.58, 5 Bi 3.43-3.67
Nd  0.5000  0.5000  0.5000  5 Y 3.40-3.58, 5 Bi 3.43-3.67
Y  0.0000  0.0000  0.3108  4 Bi 3.33, 5 Nd 3.40-3.58
Y  0.5000  0.5000  0.8108  4 Bi 3.33, 5 Nd 3.40-3.58
Bi  0.0000  0.0000  0.6646  4 Y 3.33, 5 Nd 3.43-3.67
Bi  0.5000  0.5000  0.1646  4 Y 3.33, 5 Nd 3.43-3.67

(10)
VASP calculation (GGA-PBE) on an optimized crystal structure of Ca3HoAg4.

Computed properties:
As for the space-group type: No. 123. The crystal system is tetragonal. The calculation puts the formation energy at -0.32 eV/atom.

Cell lengths 3.6868, 3.6868, 14.7929 Å; angles 90.00, 90.00, 90.00 degrees
With the nearest neighbours (Å) after each atom.
Atoms (fractional coordinates):
Ca  0.0000  0.0000  0.0000  8 Ag 3.20
Ca  0.0000  0.0000  0.2534  8 Ag 3.22-3.27
Ca  0.0000  0.0000  0.7466  8 Ag 3.22-3.27
Ho  0.0000  0.0000  0.5000  8 Ag 3.10
Ag  0.5000  0.5000  0.1257  8 Ca 3.20-3.22
Ag  0.5000  0.5000  0.3870  4 Ho 3.10, 4 Ca 3.27, 1 Ag 3.34
Ag  0.5000  0.5000  0.6130  4 Ho 3.10, 4 Ca 3.27, 1 Ag 3.34
Ag  0.5000  0.5000  0.8743  8 Ca 3.20-3.22

(11)
VASP calculation (GGA-PBE) on an optimized crystal structure of CuHgF3.

Computed properties:
As for the space-group type: No. 148. The polymorph energy (0 for the lowest one) comes out at 0.092 eV/atom. The crystal system is trigonal. For the energy relative to the elements, uncorrected, the calculation gives -6.390 eV per formula unit.

Cell lengths 6.7740, 6.7740, 6.7740 Å; angles 46.97, 46.97, 46.97 degrees
With the nearest neighbours (Å) after each atom.
Atoms (fractional coordinates):
Cu  0.1654  0.1654  0.1654  6 F 2.04-2.06
Cu  0.8346  0.8346  0.8346  6 F 2.04-2.06
Hg  0.3567  0.3567  0.3567  3 F 2.47
Hg  0.6433  0.6433  0.6433  3 F 2.47
F  0.0654  0.4366  0.8088  2 Cu 2.04-2.06
F  0.1912  0.9346  0.5634  2 Cu 2.04-2.06
F  0.4366  0.8088  0.0654  2 Cu 2.04-2.06
F  0.5634  0.1912  0.9346  2 Cu 2.04-2.06
F  0.8088  0.0654  0.4366  2 Cu 2.04-2.06
F  0.9346  0.5634  0.1912  2 Cu 2.04-2.06

(12)
VASP calculation (GGA-PBE) on an optimized crystal structure of Mn4Si23.

Computed properties:
As for the space-group type: No. 223. The crystal system is cubic. For the energy relative to the elements, uncorrected, the calculation gives 10.153 eV per formula unit.

Cell lengths 10.1411, 10.1411, 10.1411 Å; angles 90.00, 90.00, 90.00 degrees
With the nearest neighbours (Å) after each atom.
Atoms (fractional coordinates):
Mn  0.0000  0.0000  0.0000  20 Si 3.22-3.35
Mn  0.0000  0.2500  0.5000  20 Si 3.40-3.77
Mn  0.0000  0.7500  0.5000  20 Si 3.40-3.77
Mn  0.2500  0.5000  0.0000  20 Si 3.40-3.77
Mn  0.5000  0.0000  0.2500  20 Si 3.40-3.77
Mn  0.5000  0.0000  0.7500  20 Si 3.40-3.77
Mn  0.5000  0.5000  0.5000  20 Si 3.22-3.35
Mn  0.7500  0.5000  0.0000  20 Si 3.40-3.77
Si  0.0000  0.3094  0.1163  4 Si 2.36
Si  0.0000  0.3094  0.8837  4 Si 2.36
Si  0.0000  0.5000  0.2500  4 Si 2.36
Si  0.0000  0.5000  0.7500  4 Si 2.36
Si  0.0000  0.6906  0.1163  4 Si 2.36
Si  0.0000  0.6906  0.8837  4 Si 2.36
Si  0.1163  0.0000  0.3094  4 Si 2.36
Si  0.1163  0.0000  0.6906  4 Si 2.36
Si  0.1832  0.1832  0.1832  4 Si 2.35-2.36
Si  0.1832  0.1832  0.8168  4 Si 2.35-2.36
Si  0.1832  0.8168  0.1832  4 Si 2.35-2.36
Si  0.1832  0.8168  0.8168  4 Si 2.35-2.36
Si  0.1906  0.5000  0.3837  4 Si 2.36
Si  0.1906  0.5000  0.6163  4 Si 2.36
Si  0.2500  0.0000  0.5000  4 Si 2.36
Si  0.3094  0.1163  0.0000  4 Si 2.36
Si  0.3094  0.8837  0.0000  4 Si 2.36
Si  0.3168  0.3168  0.3168  4 Si 2.35-2.36
Si  0.3168  0.3168  0.6832  4 Si 2.35-2.36
Si  0.3168  0.6832  0.3168  4 Si 2.35-2.36
Si  0.3168  0.6832  0.6832  4 Si 2.35-2.36
Si  0.3837  0.1906  0.5000  4 Si 2.36
Si  0.3837  0.8094  0.5000  4 Si 2.36
Si  0.5000  0.2500  0.0000  4 Si 2.36
Si  0.5000  0.3837  0.1906  4 Si 2.36
Si  0.5000  0.3837  0.8094  4 Si 2.36
Si  0.5000  0.6163  0.1906  4 Si 2.36
Si  0.5000  0.6163  0.8094  4 Si 2.36
Si  0.5000  0.7500  0.0000  4 Si 2.36
Si  0.6163  0.1906  0.5000  4 Si 2.36
Si  0.6163  0.8094  0.5000  4 Si 2.36
Si  0.6832  0.3168  0.3168  4 Si 2.35-2.36
Si  0.6832  0.3168  0.6832  4 Si 2.35-2.36
Si  0.6832  0.6832  0.3168  4 Si 2.35-2.36
Si  0.6832  0.6832  0.6832  4 Si 2.35-2.36
Si  0.6906  0.1163  0.0000  4 Si 2.36
Si  0.6906  0.8837  0.0000  4 Si 2.36
Si  0.7500  0.0000  0.5000  4 Si 2.36
Si  0.8094  0.5000  0.3837  4 Si 2.36
Si  0.8094  0.5000  0.6163  4 Si 2.36
Si  0.8168  0.1832  0.1832  4 Si 2.35-2.36
Si  0.8168  0.1832  0.8168  4 Si 2.35-2.36
Si  0.8168  0.8168  0.1832  4 Si 2.35-2.36
Si  0.8168  0.8168  0.8168  4 Si 2.35-2.36
Si  0.8837  0.0000  0.3094  4 Si 2.36
Si  0.8837  0.0000  0.6906  4 Si 2.36